{"formula": "YTlCBr2", "functional": "meta-GGA SCAN", "state": "single point on PBEsol structure", "magmom_total_mub_per_fu": 2.9, "e_form_raw_mev_per_atom": 439, "lattice_angstrom": [[-5.235, -0.508, -0.921], [0.033, -4.753, 2.433], [-1.271, 2.876, 5.636]], "species": ["Br", "Br", "C", "Y", "Tl"], "frac_coords": [[0.500, 0.000, 0.000], [0.000, 0.500, 0.000], [0.500, 0.500, 0.500], [0.000, 0.000, 0.000], [0.000, 0.000, 0.500]]}

{"formula": "YC2Br", "functional": "meta-GGA SCAN", "state": "single point on PBEsol structure", "magmom_total_mub_per_fu": 0.0, "e_form_raw_mev_per_atom": 1859, "lattice_angstrom": [[4.332, 0.000, 0.000], [2.166, 3.752, 0.000], [2.166, 1.251, 3.537]], "species": ["C", "C", "Br", "Y"], "frac_coords": [[0.750, 0.750, 0.750], [0.250, 0.250, 0.250], [0.000, 0.000, 0.000], [0.500, 0.500, 0.500]]}

{"formula": "ZnCBr3", "functional": "meta-GGA SCAN", "state": "single point on PBEsol structure", "magmom_total_mub_per_fu": 1.0, "e_form_raw_mev_per_atom": 1158, "lattice_angstrom": [[-1.935, -2.889, -3.612], [-2.001, -3.007, 3.478], [-4.170, 2.784, 0.007]], "species": ["Br", "Br", "Br", "Zn", "C"], "frac_coords": [[0.000, 0.500, 0.000], [0.500, 0.000, 0.000], [0.000, 0.000, 0.500], [0.000, 0.000, 0.000], [0.500, 0.500, 0.500]]}

{"formula": "ZrC2Br2", "functional": "meta-GGA SCAN", "state": "single point on PBEsol structure", "magmom_total_mub_per_fu": 0.0, "e_form_raw_mev_per_atom": 1839, "lattice_angstrom": [[3.057, 0.000, 0.000], [0.000, 7.060, 0.000], [0.000, 0.000, 7.060]], "species": ["Br", "Br", "Br", "Br", "Zr", "Zr", "C", "C", "C", "C"], "frac_coords": [[0.000, 0.364, 0.864], [0.000, 0.136, 0.364], [0.000, 0.636, 0.136], [0.000, 0.864, 0.636], [0.000, 0.500, 0.500], [0.000, 0.000, 0.000], [0.500, 0.290, 0.210], [0.500, 0.210, 0.710], [0.500, 0.790, 0.290], [0.500, 0.710, 0.790]]}

{"formula": "CaBr5", "functional": "meta-GGA SCAN", "state": "single point on PBEsol structure", "magmom_total_mub_per_fu": 0.0, "e_form_raw_mev_per_atom": -403, "relative_energy_ev_per_atom": 0.233, "lattice_angstrom": [[6.077, 0.000, 0.000], [3.038, 5.263, 0.000], [3.038, 1.754, 4.962]], "species": ["Br", "Br", "Br", "Br", "Br", "Ca"], "frac_coords": [[0.125, 0.625, 0.625], [0.625, 0.625, 0.125], [0.625, 0.625, 0.625], [0.625, 0.125, 0.625], [0.250, 0.250, 0.250], [0.000, 0.000, 0.000]]}

{"formula": "CaBr5", "functional": "meta-GGA SCAN", "state": "single point on PBEsol structure", "magmom_total_mub_per_fu": 0.0, "e_form_raw_mev_per_atom": -636, "relative_energy_ev_per_atom": 0.000, "lattice_angstrom": [[5.285, 0.000, 0.000], [-2.643, 4.577, 0.000], [0.000, 0.000, 6.678]], "species": ["Ca", "Br", "Br", "Br", "Br", "Br"], "frac_coords": [[0.000, 0.000, 0.500], [0.333, 0.667, 0.500], [0.324, 0.324, 0.000], [0.667, 0.333, 0.500], [0.000, 0.676, 0.000], [0.676, 0.000, 0.000]]}

{"formula": "CaBr3", "functional": "meta-GGA SCAN", "state": "single point on PBEsol structure", "magmom_total_mub_per_fu": 0.0, "e_form_raw_mev_per_atom": -1402, "lattice_angstrom": [[5.855, 0.000, 0.000], [0.000, 5.855, 0.000], [0.000, 0.000, 5.855]], "species": ["Ca", "Ca", "Br", "Br", "Br", "Br", "Br", "Br"], "frac_coords": [[0.500, 0.500, 0.500], [0.000, 0.000, 0.000], [0.500, 0.000, 0.250], [0.250, 0.500, 0.000], [0.000, 0.250, 0.500], [0.750, 0.500, 0.000], [0.500, 0.000, 0.750], [0.000, 0.750, 0.500]]}

{"formula": "Ca5Br", "functional": "meta-GGA SCAN", "state": "single point on PBEsol structure", "magmom_total_mub_per_fu": 0.4, "e_form_raw_mev_per_atom": -340, "lattice_angstrom": [[-0.033, -0.490, -3.908], [5.572, -2.629, 0.282], [-4.110, -8.382, 3.070]], "species": ["Ca", "Ca", "Ca", "Ca", "Ca", "Br"], "frac_coords": [[0.110, 0.500, 0.220], [0.322, 0.000, 0.644], [0.444, 0.500, 0.887], [0.772, 0.500, 0.545], [0.649, 0.000, 0.299], [0.036, 0.000, 0.071]]}

{"formula": "Ca2CdBr", "functional": "meta-GGA SCAN", "state": "single point on PBEsol structure", "magmom_total_mub_per_fu": 0.0, "e_form_raw_mev_per_atom": -839, "relative_energy_ev_per_atom": 0.000, "lattice_angstrom": [[3.656, 0.000, 0.000], [0.000, 3.869, 0.000], [-1.828, -1.935, 8.315]], "species": ["Ca", "Ca", "Br", "Cd"], "frac_coords": [[0.954, 0.954, 0.909], [0.697, 0.197, 0.393], [0.297, 0.797, 0.594], [0.552, 0.552, 0.104]]}

{"formula": "CaCdBr3", "functional": "meta-GGA SCAN", "state": "single point on PBEsol structure", "magmom_total_mub_per_fu": 1.0, "e_form_raw_mev_per_atom": -1251, "lattice_angstrom": [[-4.223, 1.106, 3.367], [-1.123, -5.385, 0.360], [3.361, -0.410, 4.351]], "species": ["Cd", "Br", "Br", "Br", "Ca"], "frac_coords": [[0.500, 0.500, 0.500], [0.000, 0.000, 0.500], [0.000, 0.500, 0.000], [0.500, 0.000, 0.000], [0.000, 0.000, 0.000]]}

{"formula": "Ca2CdBr", "functional": "meta-GGA SCAN", "state": "single point on PBEsol structure", "magmom_total_mub_per_fu": 0.0, "e_form_raw_mev_per_atom": -817, "relative_energy_ev_per_atom": 0.022, "lattice_angstrom": [[3.751, 0.000, 0.000], [0.000, 5.038, 0.000], [-1.875, 0.000, 6.116]], "species": ["Br", "Cd", "Ca", "Ca"], "frac_coords": [[0.254, 0.500, 0.507], [0.485, 0.000, 0.970], [0.011, 0.500, 0.023], [0.750, 0.000, 0.500]]}

{"formula": "CaCd2CuBr", "functional": "meta-GGA SCAN", "state": "single point on PBEsol structure", "magmom_total_mub_per_fu": 0.0, "e_form_raw_mev_per_atom": 500, "lattice_angstrom": [[5.108, 0.000, 0.000], [0.000, 6.006, 0.000], [0.000, 0.000, 6.006]], "species": ["Ca", "Br", "Cd", "Cd", "Cu"], "frac_coords": [[0.000, 0.000, 0.000], [0.500, 0.500, 0.500], [0.000, 0.500, 0.000], [0.000, 0.000, 0.500], [0.500, 0.000, 0.000]]}